1.
ScAlCrI2 (GGA-PBE, relaxed); DFT total energy = -4.114 eV/atom; uncorrected formation energy = 0.446 eV per atom; spin magnetization = 5.513 μB/f.u.; volume = 36.31 A^3/atom
1.0
5.650 0.000 0.000
0.000 5.650 0.000
0.000 0.000 5.687
Sc Al Cr I
1 1 1 2
direct
0.000 0.000 0.000
0.000 0.000 0.500
0.500 0.500 0.500
0.000 0.500 0.000
0.500 0.000 0.000

=====

2.
PaTaAs2 (GGA-PBE, relaxed); DFT total energy = -8.254 eV/atom; formation energy from the elements = -592 meV/atom; spin magnetization = 0.426 μB/f.u.; relative energy among the computed polymorphs = 0 meV per atom; volume = 20.67 A^3/atom
1.0
1.797 1.038 7.390
-1.797 1.038 7.390
0.000 -2.075 7.390
Pa Ta As
1 1 2
direct
0.000 0.000 0.000
0.831 0.831 0.831
0.426 0.426 0.426
0.572 0.572 0.572

=====

3.
Ge8IrS6 (GGA-PBE, relaxed); DFT total energy = -4.518 eV/atom; uncorrected formation energy = 0.186 eV per atom; spin magnetization = 0.000 μB/f.u.; volume = 25.83 A^3/atom
1.0
6.415 3.704 2.717
-6.415 3.704 2.717
0.000 -7.407 2.717
Ge Ir S
8 1 6
direct
0.025 0.451 0.823
0.165 0.165 0.165
0.177 0.975 0.549
0.451 0.823 0.025
0.549 0.177 0.975
0.823 0.025 0.451
0.835 0.835 0.835
0.975 0.549 0.177
0.500 0.500 0.500
0.208 0.269 0.497
0.269 0.497 0.208
0.497 0.208 0.269
0.503 0.792 0.731
0.731 0.503 0.792
0.792 0.731 0.503

=====

4.
Zn4TeP (GGA-PBE, relaxed); DFT total energy = -1.915 eV/atom; uncorrected formation energy = 0.359 eV per atom; spin magnetization = 0.000 μB/f.u.; volume = 18.06 A^3/atom
1.0
0.000 3.784 3.784
3.784 0.000 3.784
3.784 3.784 0.000
Zn Te P
4 1 1
direct
0.376 0.376 0.376
0.376 0.376 0.872
0.376 0.872 0.376
0.872 0.376 0.376
0.000 0.000 0.000
0.750 0.750 0.750

=====

5.
KTcPd (GGA-PBE, relaxed); DFT total energy = -4.981 eV/atom; formation energy from the elements = 571 meV/atom; spin magnetization = 0.000 μB/f.u.; relative energy among the computed polymorphs = 327 meV per atom; volume = 22.08 A^3/atom
1.0
8.206 0.000 0.000
0.000 3.714 0.000
0.000 0.000 8.694
K Tc Pd
4 4 4
direct
0.040 0.250 0.137
0.460 0.750 0.637
0.540 0.250 0.363
0.960 0.750 0.863
0.080 0.250 0.531
0.420 0.750 0.031
0.580 0.250 0.969
0.920 0.750 0.469
0.228 0.750 0.334
0.272 0.250 0.834
0.728 0.750 0.166
0.772 0.250 0.666

=====

6.
SrTe2Se (GGA-PBE, relaxed); DFT total energy = -3.689 eV/atom; uncorrected formation energy = -0.826 eV per atom; spin magnetization = 0.000 μB/f.u.; volume = 31.16 A^3/atom
1.0
6.308 -2.190 0.000
6.308 2.190 0.000
-0.205 0.000 4.512
Sr Te Se
1 2 1
direct
0.000 0.000 0.000
0.269 0.269 0.758
0.731 0.731 0.242
0.500 0.500 0.500

=====

7.
HfUGa (GGA-PBE, relaxed); DFT total energy = -8.008 eV/atom; formation energy from the elements = 81 meV/atom; spin magnetization = 2.414 μB/f.u.; relative energy among the computed polymorphs = 167 meV per atom; volume = 20.94 A^3/atom
1.0
4.957 0.000 0.000
-2.478 4.293 0.000
0.000 0.000 2.952
Hf U Ga
1 1 1
direct
0.000 0.000 0.000
0.333 0.667 0.499
0.667 0.333 0.998

=====

8.
OsRuCl (GGA-PBE, relaxed); DFT total energy = -6.439 eV/atom; uncorrected formation energy = 1.011 eV per atom; spin magnetization = 0.000 μB/f.u.; relative energy among the computed polymorphs = 515 meV per atom; volume = 14.49 A^3/atom
1.0
4.151 0.000 0.000
-2.075 3.594 0.000
0.000 0.000 2.914
Os Ru Cl
1 1 1
direct
0.000 0.000 0.000
0.333 0.667 0.457
0.667 0.333 0.759

=====

9.
DyBMo (GGA-PBE, relaxed); DFT total energy = -7.297 eV/atom; formation energy from the elements = 73 meV/atom; spin magnetization = 0.000 μB/f.u.; volume = 15.19 A^3/atom
1.0
0.000 4.252 9.116
2.351 0.000 9.116
2.351 4.252 0.000
Dy B Mo
4 4 4
direct
0.039 0.711 0.039
0.289 0.961 0.289
0.711 0.039 0.711
0.961 0.289 0.961
0.001 0.001 0.249
0.249 0.249 0.001
0.751 0.751 0.999
0.999 0.999 0.751
0.286 0.286 0.464
0.464 0.464 0.286
0.536 0.536 0.714
0.714 0.714 0.536

=====

10.
LiOsRh2 (GGA-PBE, relaxed); DFT total energy = -6.387 eV/atom; formation energy from the elements = 575 meV/atom; spin magnetization = 0.000 μB/f.u.; relative energy among the computed polymorphs = 589 meV per atom; volume = 15.89 A^3/atom
1.0
-3.473 3.473 2.635
3.473 -3.473 2.635
3.473 3.473 -2.635
Li Os Rh
2 2 4
direct
0.000 0.000 0.000
0.750 0.250 0.500
0.250 0.750 0.500
0.500 0.500 0.000
0.153 0.125 0.528
0.375 0.847 0.972
0.597 0.625 0.472
0.875 0.403 0.028

=====

11.
RbZrCuBr6 (GGA-PBE, relaxed); DFT total energy = -3.814 eV/atom; uncorrected formation energy = -1.187 eV per atom; spin magnetization = 0.124 μB/f.u.; volume = 36.39 A^3/atom
1.0
7.002 0.000 0.000
-3.501 6.064 0.000
0.000 0.000 15.425
Rb Zr Cu Br
2 2 2 12
direct
0.000 0.000 0.000
0.000 0.000 0.500
0.333 0.667 0.250
0.667 0.333 0.750
0.333 0.667 0.750
0.667 0.333 0.250
0.005 0.377 0.151
0.005 0.628 0.349
0.372 0.377 0.349
0.372 0.995 0.151
0.377 0.005 0.651
0.377 0.372 0.849
0.623 0.628 0.151
0.623 0.995 0.349
0.628 0.005 0.849
0.628 0.623 0.651
0.995 0.372 0.651
0.995 0.623 0.849

=====

12.
Y4TmTh (GGA-PBE, relaxed); DFT total energy = -6.254 eV/atom; formation energy from the elements = 37 meV/atom; spin magnetization = 0.000 μB/f.u.; relative energy among the computed polymorphs = 0 meV per atom; volume = 32.05 A^3/atom
1.0
5.626 -2.531 0.000
5.626 2.531 0.000
-2.191 0.000 6.754
Y Tm Th
4 1 1
direct
0.163 0.163 0.328
0.165 0.165 0.836
0.835 0.835 0.164
0.837 0.837 0.672
0.500 0.500 0.500
0.500 0.500 0.000

=====

13.
LiHgIr2 (GGA-PBE, relaxed); DFT total energy = -4.902 eV/atom; formation energy from the elements = 83 meV/atom; spin magnetization = 0.000 μB/f.u.; volume = 15.88 A^3/atom
1.0
2.817 0.000 0.000
0.000 3.965 0.000
-0.014 0.000 5.688
Li Hg Ir
1 1 2
direct
0.000 0.000 0.000
0.501 0.500 0.226
0.500 0.500 0.730
0.998 0.000 0.552

=====

14.
LiAg2Cl (GGA-PBE, relaxed); DFT total energy = -2.927 eV/atom; uncorrected formation energy = -0.561 eV per atom; spin magnetization = 0.000 μB/f.u.; relative energy among the computed polymorphs = 9 meV per atom; volume = 19.82 A^3/atom
1.0
3.352 0.000 0.000
0.000 1.697 6.967
0.000 -1.697 6.967
Li Ag Cl
1 2 1
direct
0.000 0.000 0.000
0.000 0.746 0.746
0.500 0.348 0.348
0.500 0.547 0.547

=====

15.
PuTlPb2 (GGA-PBE, relaxed); DFT total energy = -6.064 eV/atom; formation energy from the elements = -35 meV/atom; spin magnetization = 5.697 μB/f.u.; relative energy among the computed polymorphs = 80 meV per atom; volume = 29.38 A^3/atom
1.0
5.681 0.000 0.000
0.000 5.681 0.000
0.000 0.000 3.641
Pu Tl Pb
1 1 2
direct
0.000 0.000 0.000
0.500 0.500 0.000
0.000 0.500 0.500
0.500 0.000 0.500

=====

16.
Hf5Sn (GGA-PBE, relaxed); DFT total energy = -9.129 eV/atom; formation energy from the elements = -167 meV/atom; spin magnetization = 0.000 μB/f.u.; volume = 22.08 A^3/atom
1.0
2.177 -7.038 0.000
2.177 7.038 0.000
0.000 0.000 4.324
Hf Sn
5 1
direct
0.000 0.000 0.000
0.171 0.829 0.500
0.331 0.669 0.000
0.669 0.331 0.000
0.829 0.171 0.500
0.500 0.500 0.500

=====

17.
Ba3IBr2O6 (GGA-PBE, relaxed); DFT total energy = -4.802 eV/atom; uncorrected formation energy = -1.434 eV per atom; spin magnetization = 1.068 μB/f.u.; volume = 23.54 A^3/atom
1.0
6.799 -3.605 0.000
6.799 3.605 0.000
-0.206 0.000 5.764
Ba I Br O
3 1 2 6
direct
0.000 0.000 0.000
0.000 0.500 0.500
0.500 0.000 0.500
0.500 0.500 0.500
0.225 0.225 0.955
0.775 0.775 0.045
0.252 0.651 0.691
0.349 0.748 0.309
0.375 0.375 0.345
0.625 0.625 0.655
0.651 0.252 0.691
0.748 0.349 0.309

=====

18.
NaTa2Tc (GGA-PBE, relaxed); DFT total energy = -8.297 eV/atom; formation energy from the elements = 550 meV/atom; spin magnetization = 0.000 μB/f.u.; relative energy among the computed polymorphs = 0 meV per atom; volume = 17.27 A^3/atom
1.0
0.000 3.257 3.257
3.257 0.000 3.257
3.257 3.257 0.000
Na Ta Tc
1 2 1
direct
0.000 0.000 0.000
0.250 0.250 0.250
0.750 0.750 0.750
0.500 0.500 0.500

=====

19.
Ce3TlCl (GGA-PBE, relaxed); DFT total energy = -4.884 eV/atom; uncorrected formation energy = -0.482 eV per atom; spin magnetization = 0.877 μB/f.u.; volume = 28.80 A^3/atom
1.0
5.242 0.000 0.000
0.000 5.242 0.000
0.000 0.000 5.242
Ce Tl Cl
3 1 1
direct
0.000 0.000 0.500
0.000 0.500 0.000
0.500 0.000 0.000
0.500 0.500 0.500
0.000 0.000 0.000

=====

20.
BiPbO2 (GGA-PBE, relaxed); DFT total energy = -4.777 eV/atom; uncorrected formation energy = -0.400 eV per atom; spin magnetization = 0.000 μB/f.u.; relative energy among the computed polymorphs = 510 meV per atom; volume = 16.53 A^3/atom
1.0
0.000 3.209 3.209
3.209 0.000 3.209
3.209 3.209 0.000
Bi Pb O
1 1 2
direct
0.000 0.000 0.000
0.500 0.500 0.500
0.250 0.250 0.250
0.750 0.750 0.750

=====

21.
MgBeW2 (GGA-PBE, relaxed); DFT total energy = -7.318 eV/atom; formation energy from the elements = 489 meV/atom; spin magnetization = 0.000 μB/f.u.; relative energy among the computed polymorphs = 196 meV per atom; volume = 15.09 A^3/atom
1.0
2.657 -4.249 0.000
2.657 4.249 0.000
0.000 0.000 2.674
Mg Be W
1 1 2
direct
0.000 0.000 0.000
0.500 0.500 0.000
0.000 0.500 0.500
0.500 0.000 0.500

=====

22.
HgOsPb2 (GGA-PBE, relaxed); DFT total energy = -4.014 eV/atom; formation energy from the elements = 724 meV/atom; spin magnetization = 0.000 μB/f.u.; volume = 24.23 A^3/atom
1.0
1.696 -2.720 0.000
1.696 2.720 0.000
0.000 0.000 10.505
Hg Os Pb
1 1 2
direct
0.000 0.000 0.000
0.500 0.500 0.788
0.000 0.000 0.580
0.500 0.500 0.256

=====

23.
CeScNiOs (GGA-PBE, relaxed); DFT total energy = -7.633 eV/atom; formation energy from the elements = -313 meV/atom; spin magnetization = 0.182 μB/f.u.; volume = 18.47 A^3/atom
1.0
0.000 3.330 3.330
3.330 0.000 3.330
3.330 3.330 0.000
Ce Sc Ni Os
1 1 1 1
direct
0.000 0.000 0.000
0.500 0.500 0.500
0.750 0.750 0.750
0.250 0.250 0.250

=====

24.
KTbCl2 (GGA-PBE, relaxed); DFT total energy = -3.725 eV/atom; uncorrected formation energy = -1.370 eV per atom; spin magnetization = 0.000 μB/f.u.; volume = 30.81 A^3/atom
1.0
1.871 1.080 10.158
-1.871 1.080 10.158
0.000 -2.161 10.158
K Tb Cl
1 1 2
direct
0.000 0.000 0.000
0.500 0.500 0.500
0.106 0.106 0.106
0.894 0.894 0.894

=====

25.
LaPr8Ir6 (GGA-PBE, relaxed); DFT total energy = -6.978 eV/atom; formation energy from the elements = -556 meV/atom; spin magnetization = 0.000 μB/f.u.; volume = 26.83 A^3/atom
1.0
4.287 2.475 6.323
-4.287 2.475 6.323
0.000 -4.950 6.323
La Pr Ir
1 8 6
direct
0.000 0.000 0.000
0.110 0.449 0.777
0.223 0.890 0.551
0.334 0.334 0.334
0.449 0.777 0.110
0.551 0.223 0.890
0.666 0.666 0.666
0.777 0.110 0.449
0.890 0.551 0.223
0.059 0.726 0.390
0.274 0.610 0.941
0.390 0.059 0.726
0.610 0.941 0.274
0.726 0.390 0.059
0.941 0.274 0.610

=====

26.
Pm2Cd5Ag5 (GGA-PBE, relaxed); DFT total energy = -2.517 eV/atom; formation energy from the elements = -156 meV/atom; spin magnetization = 0.000 μB/f.u.; volume = 22.63 A^3/atom
1.0
4.749 0.000 0.000
0.000 5.724 0.000
0.000 0.000 9.991
Pm Cd Ag
2 5 5
direct
0.000 0.000 0.000
0.000 0.500 0.500
0.000 0.000 0.327
0.000 0.000 0.673
0.000 0.500 0.166
0.000 0.500 0.834
0.500 0.000 0.500
0.500 0.251 0.249
0.500 0.251 0.751
0.500 0.500 0.000
0.500 0.749 0.249
0.500 0.749 0.751